First-principles (PBE) data for a relaxed CuHgIr2S crystal, as listed in Alexandria via LeMat-Bulk.

```
CuHgIr2S
1.0
5.0042 0.0000 0.0000
0.0000 5.0042 0.0000
0.0000 0.0000 4.6571
Cu Hg Ir S
1 1 2 1
Direct
0.0000 0.0000 0.0000
0.0000 0.0000 0.5000
0.0000 0.5000 0.5000
0.5000 0.0000 0.5000
0.5000 0.5000 0.0000
```

E_form (uncorrected) ... 2134 meV/atom
Magnetic moment ... 1.259 μB/cell